Material: LaTm4B2
Method: DFT, PBE-GGA
State: optimized geometry

Cell lengths 7.4015, 7.4015, 7.4015 Å; angles 136.72, 136.72, 62.87 degrees
Closest atoms and distances in Å follow each position.
Sites, in units of the cell vectors:
1 Tm 0.5000 0.0000 0.5000  2 La 2.73, 4 B 2.84
2 La 0.0000 0.0000 0.0000  4 Tm 2.73
3 B 0.5617 0.5617 0.0000  1 B 1.56
4 Tm 0.7488 0.7488 0.0000  1 B 2.36
5 Tm 0.0000 0.5000 0.5000  2 La 2.73, 4 B 2.84
6 Tm 0.2512 0.2512 0.0000  1 B 2.36
7 B 0.4383 0.4383 0.0000  1 B 1.56

## Properties
Total magnetic moment ... 0.0032 μB per atom
Total energy ... -4.441 eV per atom
Symmetry ... I4/mmm (139)

---

Material: LaBW
Method: DFT, PBE-GGA
State: optimized geometry

Cell lengths 4.6069, 4.6069, 4.6069 Å; angles 60.00, 60.00, 60.00 degrees
Closest atoms and distances in Å follow each position.
Sites, in units of the cell vectors:
1 W 0.7500 0.7500 0.7500  4 La 2.82
2 B 0.2500 0.2500 0.2500  4 La 2.82
3 La 0.0000 0.0000 0.0000  4 W 2.82, 4 B 2.82

## Properties
E above lowest polymorph ... 1425.9 meV per atom
Total magnetic moment ... 0.7053 μB per atom
Symmetry ... F-43m (216)

---

Material: LaBW
Method: DFT, PBE-GGA
State: optimized geometry

Cell lengths 4.2890, 4.2890, 4.2890 Å; angles 60.00, 60.00, 60.00 degrees
Closest atoms and distances in Å follow each position.
Sites, in units of the cell vectors:
1 B 0.0000 0.0000 0.0000  4 La 2.63, 4 W 2.63
2 W 0.7500 0.7500 0.7500  4 B 2.63
3 La 0.2500 0.2500 0.2500  4 B 2.63

## Properties
E above lowest polymorph ... 0.0 meV per atom
Total magnetic moment ... 0.0008 μB per atom
Symmetry ... F-43m (216)

---

Material: LaZnB4
Method: DFT, PBE-GGA
State: optimized geometry

Cell lengths 5.3018, 5.3018, 5.3018 Å; angles 145.27, 119.02, 72.13 degrees
Closest atoms and distances in Å follow each position.
Sites, in units of the cell vectors:
1 La 0.0000 0.0000 0.0000  12 B 2.79-2.80, 4 Zn 3.12
2 Zn 0.5000 0.5000 0.0000  12 B 2.73-2.86
3 B 0.5799 0.2548 0.3251  3 B 1.78-1.88
4 B 0.9297 0.2548 0.6749  3 B 1.78-1.88
5 B 0.4201 0.7452 0.6749  3 B 1.78-1.88
6 B 0.0703 0.7452 0.3251  3 B 1.78-1.88

## Properties
E above lowest polymorph ... 0.0 meV per atom
Total magnetic moment ... 0.0003 μB per atom
Symmetry ... Immm (71)

---

Material: LaZnB4
Method: DFT, PBE-GGA
State: optimized geometry

Cell lengths 3.1826, 3.1826, 7.5969 Å; angles 90.00, 90.00, 120.00 degrees
Closest atoms and distances in Å follow each position.
Sites, in units of the cell vectors:
1 B 0.6667 0.3333 0.2868  3 B 1.84
2 La 0.0000 0.0000 0.0000  12 B 2.85, 6 La 3.18
3 B 0.3333 0.6667 0.2868  3 B 1.84
4 B 0.3333 0.6667 0.7132  3 B 1.84
5 B 0.6667 0.3333 0.7132  3 B 1.84
6 Zn 0.0000 0.0000 0.5000  12 B 2.45

## Properties
E above lowest polymorph ... 19.6 meV per atom
Total magnetic moment ... 0.0009 μB per atom
Symmetry ... P6/mmm (191)

---

Material: Li2LuB
Method: DFT, PBE-GGA
State: optimized geometry

Cell lengths 4.3179, 4.3179, 4.3179 Å; angles 60.00, 60.00, 60.00 degrees
Closest atoms and distances in Å follow each position.
Sites, in units of the cell vectors:
1 Li 0.7500 0.7500 0.7500  4 Li 2.64, 4 B 2.64
2 Li 0.0000 0.0000 0.0000  4 Li 2.64, 4 Lu 2.64
3 B 0.5000 0.5000 0.5000  4 Li 2.64, 4 Lu 2.64
4 Lu 0.2500 0.2500 0.2500  4 Li 2.64, 4 B 2.64

## Properties
Total magnetic moment ... 0.0001 μB per atom
Total energy ... -3.605 eV per atom
Symmetry ... F-43m (216)

---

Material: LiLuB
Method: DFT, PBE-GGA
State: optimized geometry

Cell lengths 4.0001, 4.0001, 4.0001 Å; angles 60.00, 60.00, 60.00 degrees
Closest atoms and distances in Å follow each position.
Sites, in units of the cell vectors:
1 Lu 0.7500 0.7500 0.7500  4 Li 2.45
2 B 0.2500 0.2500 0.2500  4 Li 2.45
3 Li 0.0000 0.0000 0.0000  4 B 2.45, 4 Lu 2.45

## Properties
E above lowest polymorph ... 388.9 meV per atom
Total magnetic moment ... 0.0004 μB per atom
Symmetry ... F-43m (216)

---

Material: LiLuB
Method: DFT, PBE-GGA
State: optimized geometry

Cell lengths 4.1479, 4.1479, 4.1479 Å; angles 60.00, 60.00, 60.00 degrees
Closest atoms and distances in Å follow each position.
Sites, in units of the cell vectors:
1 B 0.0000 0.0000 0.0000  4 Li 2.54, 4 Lu 2.54
2 Li 0.2500 0.2500 0.2500  4 B 2.54
3 Lu 0.7500 0.7500 0.7500  4 B 2.54

## Properties
E above lowest polymorph ... 0.0 meV per atom
Total magnetic moment ... 0.3333 μB per atom
Symmetry ... F-43m (216)

---

Material: LiLu2B
Method: DFT, PBE-GGA
State: optimized geometry

Cell lengths 4.7449, 4.7449, 4.7449 Å; angles 60.00, 60.00, 60.00 degrees
Closest atoms and distances in Å follow each position.
Sites, in units of the cell vectors:
1 Lu 0.7500 0.7500 0.7500  4 Lu 2.91, 4 B 2.91
2 Lu 0.0000 0.0000 0.0000  4 Lu 2.91, 4 Li 2.91
3 B 0.5000 0.5000 0.5000  4 Lu 2.91, 4 Li 2.91
4 Li 0.2500 0.2500 0.2500  4 Lu 2.91, 4 B 2.91

## Properties
Total magnetic moment ... 0.0072 μB per atom
Total energy ... -3.650 eV per atom
Symmetry ... F-43m (216)

---

Material: LiLuB
Method: DFT, PBE-GGA
State: optimized geometry

Cell lengths 4.1710, 4.1710, 4.1710 Å; angles 60.00, 60.00, 60.00 degrees
Closest atoms and distances in Å follow each position.
Sites, in units of the cell vectors:
1 Lu 0.0000 0.0000 0.0000  4 Li 2.55, 4 B 2.55
2 Li 0.7500 0.7500 0.7500  4 Lu 2.55
3 B 0.2500 0.2500 0.2500  4 Lu 2.55

## Properties
E above lowest polymorph ... 599.8 meV per atom
Total magnetic moment ... 0.0040 μB per atom
Symmetry ... F-43m (216)

---

Material: LiLuNiB
Method: DFT, PBE-GGA
State: optimized geometry

Cell lengths 4.1585, 4.1585, 4.1585 Å; angles 60.00, 60.00, 60.00 degrees
Closest atoms and distances in Å follow each position.
Sites, in units of the cell vectors:
1 Lu 0.5000 0.5000 0.5000  4 Ni 2.55, 4 Li 2.55
2 Ni 0.7500 0.7500 0.7500  4 Lu 2.55, 4 B 2.55
3 Li 0.2500 0.2500 0.2500  4 B 2.55, 4 Lu 2.55
4 B 0.0000 0.0000 0.0000  4 Li 2.55, 4 Ni 2.55

## Properties
E above lowest polymorph ... 126.0 meV per atom
Total magnetic moment ... 0.0552 μB per atom
Symmetry ... F-43m (216)

---

Material: LiLuNiB
Method: DFT, PBE-GGA
State: optimized geometry

Cell lengths 4.1487, 4.1487, 4.1487 Å; angles 60.00, 60.00, 60.00 degrees
Closest atoms and distances in Å follow each position.
Sites, in units of the cell vectors:
1 Ni 0.7500 0.7500 0.7500  4 Li 2.54, 4 B 2.54
2 Li 0.5000 0.5000 0.5000  4 Ni 2.54, 4 Lu 2.54
3 Lu 0.2500 0.2500 0.2500  4 Li 2.54, 4 B 2.54
4 B 0.0000 0.0000 0.0000  4 Ni 2.54, 4 Lu 2.54

## Properties
E above lowest polymorph ... 0.0 meV per atom
Total magnetic moment ... 0.0003 μB per atom
Symmetry ... F-43m (216)

---

Material: LiMgNiB
Method: DFT, PBE-GGA
State: optimized geometry

Cell lengths 4.0254, 4.0254, 4.0254 Å; angles 60.00, 60.00, 60.00 degrees
Closest atoms and distances in Å follow each position.
Sites, in units of the cell vectors:
1 Ni 0.5000 0.5000 0.5000  4 Mg 2.47, 4 Li 2.47
2 B 0.0000 0.0000 0.0000  4 Li 2.47, 4 Mg 2.47
3 Mg 0.2500 0.2500 0.2500  4 Ni 2.47, 4 B 2.47
4 Li 0.7500 0.7500 0.7500  4 Ni 2.47, 4 B 2.47

## Properties
E above lowest polymorph ... 240.4 meV per atom
Total magnetic moment ... 0.0012 μB per atom
Symmetry ... F-43m (216)

---

Material: LiMgNiB
Method: DFT, PBE-GGA
State: optimized geometry

Cell lengths 3.9299, 3.9299, 3.9299 Å; angles 60.00, 60.00, 60.00 degrees
Closest atoms and distances in Å follow each position.
Sites, in units of the cell vectors:
1 Li 0.7500 0.7500 0.7500  4 Mg 2.41, 4 Ni 2.41
2 B 0.2500 0.2500 0.2500  4 Ni 2.41, 4 Mg 2.41
3 Ni 0.5000 0.5000 0.5000  4 Li 2.41, 4 B 2.41
4 Mg 0.0000 0.0000 0.0000  4 Li 2.41, 4 B 2.41

## Properties
E above lowest polymorph ... 0.0 meV per atom
Total magnetic moment ... 0.0022 μB per atom
Symmetry ... F-43m (216)

---

Material: LiMgZnB
Method: DFT, PBE-GGA
State: optimized geometry

Cell lengths 4.0671, 4.0671, 4.0671 Å; angles 60.00, 60.00, 60.00 degrees
Closest atoms and distances in Å follow each position.
Sites, in units of the cell vectors:
1 Mg 0.2500 0.2500 0.2500  4 Li 2.49, 4 B 2.49
2 Li 0.5000 0.5000 0.5000  4 Zn 2.49, 4 Mg 2.49
3 B 0.0000 0.0000 0.0000  4 Zn 2.49, 4 Mg 2.49
4 Zn 0.7500 0.7500 0.7500  4 B 2.49, 4 Li 2.49

## Properties
E above lowest polymorph ... 0.0 meV per atom
Symmetry ... F-43m (216)

---

Material: LiMgZnB
Method: DFT, PBE-GGA
State: optimized geometry

Cell lengths 4.2214, 4.2214, 4.2214 Å; angles 60.00, 60.00, 60.00 degrees
Closest atoms and distances in Å follow each position.
Sites, in units of the cell vectors:
1 Mg 0.5000 0.5000 0.5000  4 Zn 2.59, 4 B 2.59
2 B 0.2500 0.2500 0.2500  4 Li 2.59, 4 Mg 2.59
3 Zn 0.7500 0.7500 0.7500  4 Mg 2.59, 4 Li 2.59
4 Li 0.0000 0.0000 0.0000  4 B 2.59, 4 Zn 2.59

## Properties
E above lowest polymorph ... 158.7 meV per atom
Symmetry ... F-43m (216)

---

Material: LiBMo
Method: DFT, PBE-GGA
State: optimized geometry

Cell lengths 3.6342, 3.6342, 3.6342 Å; angles 60.00, 60.00, 60.00 degrees
Closest atoms and distances in Å follow each position.
Sites, in units of the cell vectors:
1 Li 0.2500 0.2500 0.2500  4 B 2.23
2 B 0.0000 0.0000 0.0000  4 Mo 2.23, 4 Li 2.23
3 Mo 0.7500 0.7500 0.7500  4 B 2.23

## Properties
E above lowest polymorph ... 0.0 meV per atom
Total magnetic moment ... 0.0006 μB per atom
Symmetry ... F-43m (216)

---

Material: LiBMo
Method: DFT, PBE-GGA
State: optimized geometry

Cell lengths 3.7486, 3.7486, 3.7486 Å; angles 60.00, 60.00, 60.00 degrees
Closest atoms and distances in Å follow each position.
Sites, in units of the cell vectors:
1 Li 0.7500 0.7500 0.7500  4 Mo 2.30
2 Mo 0.0000 0.0000 0.0000  4 B 2.30, 4 Li 2.30
3 B 0.2500 0.2500 0.2500  4 Mo 2.30

## Properties
E above lowest polymorph ... 800.6 meV per atom
Total magnetic moment ... 0.0090 μB per atom
Symmetry ... F-43m (216)

---

Material: Li2BMo
Method: DFT, PBE-GGA
State: optimized geometry

Cell lengths 3.9224, 3.9224, 3.9224 Å; angles 60.00, 60.00, 60.00 degrees
Closest atoms and distances in Å follow each position.
Sites, in units of the cell vectors:
1 Li 0.7500 0.7500 0.7500  4 Li 2.40, 4 B 2.40
2 Li 0.0000 0.0000 0.0000  4 Li 2.40, 4 Mo 2.40
3 B 0.5000 0.5000 0.5000  4 Mo 2.40, 4 Li 2.40
4 Mo 0.2500 0.2500 0.2500  4 B 2.40, 4 Li 2.40

## Properties
Total magnetic moment ... 0.2485 μB per atom
Total energy ... -4.872 eV per atom
Symmetry ... F-43m (216)

---

Material: LiB2Mo
Method: DFT, PBE-GGA
State: optimized geometry

Cell lengths 3.7272, 3.7272, 3.7272 Å; angles 60.00, 60.00, 60.00 degrees
Closest atoms and distances in Å follow each position.
Sites, in units of the cell vectors:
1 Mo 0.2500 0.2500 0.2500  4 Li 2.28, 4 B 2.28
2 Li 0.5000 0.5000 0.5000  4 B 2.28, 4 Mo 2.28
3 B 0.0000 0.0000 0.0000  4 B 2.28, 4 Mo 2.28
4 B 0.7500 0.7500 0.7500  4 B 2.28, 4 Li 2.28

## Properties
Total magnetic moment ... 0.0016 μB per atom
Total energy ... -5.624 eV per atom
Symmetry ... F-43m (216)